A plane-wave DFT calculation with PBE-GGA was carried out for a geometry-optimized MgCo4Ge structure.

## Properties
- calculated formation energy (eV per atom) = 0.0869

```
MgCo4Ge
1.0
-4.135 1.718 -1.637
-4.101 -2.117 1.195
-3.025 2.171 2.978
Co Ge Mg
4 1 1
Direct
0.625 0.125 0.625
0.625 0.625 0.625
0.625 0.625 0.125
0.125 0.625 0.625
0.250 0.250 0.250
0.000 0.000 0.000
```

---

A plane-wave DFT calculation with PBE-GGA was carried out for a geometry-optimized PmDy2Ga structure.

## Properties
- calculated formation energy (eV per atom) = -0.0285

```
PmDy2Ga
1.0
5.034 0.000 0.000
2.517 4.360 0.000
2.517 1.453 5.199
Dy Pm Ga
2 1 1
Direct
0.273 0.273 0.182
0.727 0.727 0.818
0.500 0.500 0.500
0.000 0.000 0.000
```

---

A plane-wave DFT calculation with PBE-GGA was carried out for a geometry-optimized Zn2FeBr structure.

## Properties
- ΔE_f (raw) (eV per atom) = 0.78

```
Zn2FeBr
1.0
0.000 3.361 3.361
3.361 0.000 3.361
3.361 3.361 0.000
Fe Zn Br
1 2 1
Direct
0.000 0.000 0.000
0.250 0.250 0.250
0.750 0.750 0.750
0.500 0.500 0.500
```

---

A plane-wave DFT calculation with PBE-GGA was carried out for a geometry-optimized Cs2KOs structure.

## Properties
- calculated formation energy (eV per atom) = 1.3602

```
Cs2KOs
1.0
-5.536 -1.947 1.422
-4.521 3.952 0.631
-4.422 0.210 -4.106
Os Cs K
1 2 1
Direct
0.500 0.500 0.500
0.750 0.750 0.750
0.250 0.250 0.250
0.000 0.000 0.000
```